! Ac3HgO (PBE, relaxed); values from VASP
! Excess energy over the best structure of this formula in the dataset (eV/f.u.): 0.00
! Magnetic moment (μB/cell): 0.000
! ΔE_f (raw) (eV/atom): -1.20
! Volume (Å³/cell): 343.23
! Final energy (eV for the cell shown): -47.2
&SYSTEM
  ibrav = 0, nat = 10, ntyp = 3
/
ATOMIC_SPECIES
Ac 227.00 Ac.upf
O 16.00 O.upf
Hg 200.59 Hg.upf
CELL_PARAMETERS angstrom
5.576 -0.023 0.061
0.061 7.719 2.024
-0.036 0.022 7.979
ATOMIC_POSITIONS crystal
Ac 0.499 0.345 0.783
Ac 0.985 0.559 0.999
Ac 0.495 0.867 0.709
Ac 0.990 0.038 0.074
Ac 0.495 0.269 0.306
Ac 0.990 0.635 0.477
O 0.742 0.612 0.731
O 0.742 0.292 0.051
Hg 0.492 0.747 0.186
Hg 0.992 0.158 0.596